a | The following is a DFT calculation (PBE) of a relaxed TlB2Mo crystal.

The total magnetization is 0.000 μB per atom.

The structure belongs to space group I-42d (No. 122); the cell edges are 5.495, 5.495 and 9.148 Å and the angles 90.00°, 90.00° and 90.00°. The distinct sites, in fractional coordinates, are Tl at (0.000, 0.000, 0.000), B at (0.196, 0.250, 0.625) and Mo at (0.000, 0.000, 0.500).

---

b | The following is a DFT calculation (PBE) of a relaxed TlB2Mo crystal.

The total magnetization is 0.000 μB per atom.

The structure belongs to space group Fm-3m (No. 225); the cell edges are 5.924, 5.924 and 5.924 Å and the angles 90.00°, 90.00° and 90.00°. The distinct sites, in fractional coordinates, are Tl at (0.000, 0.000, 0.000), B at (0.250, 0.250, 0.250) and Mo at (0.000, 0.000, 0.500).

---

Of them, b has the lowest stability.

---

a | The following is a DFT calculation (PBE) of a relaxed Tl3BMo crystal.

The total magnetization is 0.110 μB per atom.

The structure belongs to space group Pm-3m (No. 221); the cell edges are 5.402, 5.402 and 5.402 Å and the angles 90.00°, 90.00° and 90.00°. The distinct sites, in fractional coordinates, are Tl at (0.000, 0.000, 0.500), B at (0.500, 0.500, 0.500) and Mo at (0.000, 0.000, 0.000).

---

b | The following is a DFT calculation (PBE) of a relaxed Tl3BMo crystal.

The total magnetization is 0.857 μB per atom.

The structure belongs to space group Pm-3m (No. 221); the cell edges are 4.948, 4.948 and 4.948 Å and the angles 90.00°, 90.00° and 90.00°. The distinct sites, in fractional coordinates, are Tl at (0.000, 0.000, 0.500), B at (0.000, 0.000, 0.000) and Mo at (0.500, 0.500, 0.500).

---

Of them, a has the lowest stability.

---

a | The following is a DFT calculation (PBE) of a relaxed UB6Mo2 crystal.

The total magnetization is 0.056 μB per atom.

The structure belongs to space group P6/mmm (No. 191); the cell edges are 5.3468, 5.3468 and 3.5844 Å and the angles 90.00°, 90.00° and 120.00°. The distinct sites, in fractional coordinates, are U at (0.0000, 0.0000, 0.0000), B at (0.0000, 0.3386, 0.5000) and Mo at (0.3333, 0.6667, 0.0000).

---

b | The following is a DFT calculation (PBE) of a relaxed UB6Mo2 crystal.

The total magnetization is 0.158 μB per atom.

The structure belongs to space group Immm (No. 71); the cell edges are 3.123, 6.883 and 8.594 Å and the angles 90.00°, 90.00° and 90.00°. The distinct sites, in fractional coordinates, are U at (0.000, 0.000, 0.000), B at (0.000, 0.171, 0.500), B at (0.000, 0.243, 0.307) and Mo at (0.000, 0.500, 0.155).

---

Of them, a has the lowest stability.

---

a | The following is a DFT calculation (PBE) of a relaxed UBMo crystal.

The total magnetization is 0.223 μB per atom.

The structure belongs to space group I4mm (No. 107); the cell edges are 3.080, 3.080 and 9.380 Å and the angles 90.00°, 90.00° and 90.00°. The distinct sites, in fractional coordinates, are U at (0.000, 0.000, 0.000), B at (0.000, 0.000, 0.306) and Mo at (0.000, 0.000, 0.728).

---

b | The following is a DFT calculation (PBE) of a relaxed UBMo crystal.

The total magnetization is 0.000 μB per atom.

The structure belongs to space group R-3m (No. 166, hexagonal axes); the cell edges are 3.2433, 3.2433 and 29.3158 Å and the angles 90.00°, 90.00° and 120.00°. The distinct sites, in fractional coordinates, are U at (0.0000, 0.0000, 0.1990), B at (0.0000, 0.0000, 0.0762) and Mo at (0.0000, 0.0000, 0.3715).

---

Of them, b has the lowest stability.